ScTl2FeO6: relaxed, PBE with a Hubbard U.

Lattice parameters (Å, degrees): 5.6487 5.6487 5.6487 58.12 58.12 58.12
Last column: nearest neighbours and their distance in Å.
Fractional positions:
Sc 0.0000 0.0000 0.0000  6 O 2.09-2.18
Tl 0.2638 0.2638 0.2638  3 O 2.20
Tl 0.7728 0.7728 0.7728  3 O 2.21
Fe 0.4944 0.4944 0.4944  6 O 1.98
O 0.1489 0.3604 0.7191  1 Fe 1.98, 1 Sc 2.09, 1 Tl 2.21
O 0.2400 0.8395 0.6298  1 Fe 1.98, 1 Sc 2.18, 1 Tl 2.20
O 0.3604 0.7191 0.1489  1 Fe 1.98, 1 Sc 2.09, 1 Tl 2.21
O 0.6298 0.2400 0.8395  1 Fe 1.98, 1 Sc 2.18, 1 Tl 2.20
O 0.7191 0.1489 0.3604  1 Fe 1.98, 1 Sc 2.09, 1 Tl 2.21
O 0.8395 0.6298 0.2400  1 Fe 1.98, 1 Sc 2.18, 1 Tl 2.20

Calculated values
* M_tot: 1.0 μB/f.u.
* E_tot: -6.016 eV/atom
* SG: R3 (146)